{
  "formula": "NaSe2",
  "functional": "PBE",
  "state": "optimized geometry",
  "lattice_angstrom": [[0.000, 4.199, 4.199], [4.199, 0.000, 4.199], [4.199, 4.199, 0.000]],
  "species": ["Na", "Na", "Se", "Se", "Se", "Se"],
  "fractional_positions": [[0.125, 0.125, 0.125], [0.875, 0.875, 0.875], [0.000, 0.500, 0.500], [0.500, 0.000, 0.500], [0.500, 0.500, 0.000], [0.500, 0.500, 0.500]],
  "crystal_system": "cubic",
  "raw_formation_energy_ev_per_atom": -0.213,
  "total_magnetization_mub_per_fu": 0.0,
  "e_tot_ev_per_cell": -17.85,
  "e_above_lowest_polymorph_mev_per_atom": 360,
  "vol_a3_per_fu": 74
}

---

{
  "formula": "Ce5Hg3",
  "functional": "PBE",
  "state": "optimized geometry",
  "lattice_angstrom": [[4.689, 0.000, 0.000], [0.000, 4.689, 0.000], [0.000, 0.000, 19.405]],
  "species": ["Ce", "Ce", "Ce", "Ce", "Ce", "Ce", "Ce", "Ce", "Ce", "Ce", "Hg", "Hg", "Hg", "Hg", "Hg", "Hg"],
  "fractional_positions": [[0.000, 0.000, 0.000], [0.000, 0.000, 0.228], [0.000, 0.000, 0.772], [0.000, 0.500, 0.131], [0.000, 0.500, 0.369], [0.500, 0.000, 0.631], [0.500, 0.000, 0.869], [0.500, 0.500, 0.272], [0.500, 0.500, 0.500], [0.500, 0.500, 0.728], [0.000, 0.000, 0.500], [0.000, 0.500, 0.619], [0.000, 0.500, 0.881], [0.500, 0.000, 0.119], [0.500, 0.000, 0.381], [0.500, 0.500, 0.000]],
  "crystal_system": "tetragonal",
  "total_magnetization_mub_per_fu": 4.3,
  "e_tot_ev_per_cell": -63.66,
  "e_above_lowest_polymorph_mev_per_atom": 15,
  "vol_a3_per_fu": 213,
  "e_form_mev_per_atom": -157
}

---

{
  "formula": "Ca2TiAu",
  "functional": "PBE",
  "state": "optimized geometry",
  "lattice_angstrom": [[7.432, 0.000, 0.000], [0.000, 7.432, 0.000], [0.000, 0.000, 7.432]],
  "species": ["Ca", "Ca", "Ca", "Ca", "Ca", "Ca", "Ca", "Ca", "Ti", "Ti", "Ti", "Ti", "Au", "Au", "Au", "Au"],
  "fractional_positions": [[0.250, 0.250, 0.250], [0.250, 0.250, 0.750], [0.250, 0.750, 0.250], [0.250, 0.750, 0.750], [0.750, 0.250, 0.250], [0.750, 0.250, 0.750], [0.750, 0.750, 0.250], [0.750, 0.750, 0.750], [0.000, 0.000, 0.000], [0.000, 0.500, 0.500], [0.500, 0.000, 0.500], [0.500, 0.500, 0.000], [0.000, 0.000, 0.500], [0.000, 0.500, 0.000], [0.500, 0.000, 0.000], [0.500, 0.500, 0.500]],
  "crystal_system": "cubic",
  "total_magnetization_mub_per_fu": 3.7,
  "e_tot_ev_per_cell": -59.01,
  "e_above_lowest_polymorph_mev_per_atom": 0,
  "vol_a3_per_fu": 103,
  "e_form_mev_per_atom": 106
}

---

{
  "formula": "Dy2Y6Cd",
  "functional": "PBE",
  "state": "optimized geometry",
  "lattice_angstrom": [[9.453, 0.000, 0.000], [-4.727, 8.187, 0.000], [0.000, 0.000, 3.613]],
  "species": ["Dy", "Dy", "Y", "Y", "Y", "Y", "Y", "Y", "Cd"],
  "fractional_positions": [[0.333, 0.667, 0.000], [0.667, 0.333, 0.000], [0.000, 0.380, 0.500], [0.000, 0.722, 0.000], [0.278, 0.278, 0.000], [0.380, 0.000, 0.500], [0.620, 0.620, 0.500], [0.722, 0.000, 0.000], [0.000, 0.000, 0.500]],
  "crystal_system": "hexagonal",
  "total_magnetization_mub_per_fu": 0.0,
  "e_tot_ev_per_cell": -49.61,
  "e_above_lowest_polymorph_mev_per_atom": 0,
  "vol_a3_per_fu": 280,
  "e_form_mev_per_atom": -79
}

---

{
  "formula": "Ti6InPd5",
  "functional": "PBE",
  "state": "optimized geometry",
  "lattice_angstrom": [[5.305, 0.000, 0.000], [-0.515, 5.455, 0.000], [-0.654, -2.322, 6.988]],
  "species": ["Ti", "Ti", "Ti", "Ti", "Ti", "Ti", "In", "Pd", "Pd", "Pd", "Pd", "Pd"],
  "fractional_positions": [[0.079, 0.470, 0.183], [0.179, 0.088, 0.825], [0.411, 0.616, 0.686], [0.589, 0.384, 0.314], [0.821, 0.912, 0.175], [0.921, 0.530, 0.817], [0.500, 0.000, 0.500], [0.065, 0.250, 0.480], [0.293, 0.943, 0.113], [0.500, 0.500, 0.000], [0.707, 0.057, 0.887], [0.935, 0.750, 0.520]],
  "crystal_system": "triclinic",
  "total_magnetization_mub_per_fu": 0.0,
  "e_tot_ev_per_cell": -79.88,
  "vol_a3_per_fu": 202,
  "e_form_mev_per_atom": -317
}

---

{
  "formula": "HfAg2Sn",
  "functional": "PBE",
  "state": "optimized geometry",
  "lattice_angstrom": [[3.053, 0.000, 0.000], [-1.527, 2.644, 0.000], [0.000, 0.000, 32.517]],
  "species": ["Hf", "Hf", "Hf", "Ag", "Ag", "Ag", "Ag", "Ag", "Ag", "Sn", "Sn", "Sn"],
  "fractional_positions": [[0.000, 0.000, 0.000], [0.333, 0.667, 0.667], [0.667, 0.333, 0.333], [0.000, 0.000, 0.085], [0.000, 0.000, 0.915], [0.333, 0.667, 0.581], [0.333, 0.667, 0.752], [0.667, 0.333, 0.248], [0.667, 0.333, 0.419], [0.000, 0.000, 0.500], [0.333, 0.667, 0.167], [0.667, 0.333, 0.833]],
  "crystal_system": "trigonal",
  "total_magnetization_mub_per_fu": 0.0,
  "e_tot_ev_per_cell": -55.47,
  "vol_a3_per_fu": 88,
  "e_form_mev_per_atom": 292
}

---

{
  "formula": "PaAs2Pb",
  "functional": "PBE",
  "state": "optimized geometry",
  "lattice_angstrom": [[4.793, 0.000, 0.000], [0.000, 4.793, 0.000], [0.000, 0.000, 3.909]],
  "species": ["Pa", "As", "As", "Pb"],
  "fractional_positions": [[0.000, 0.000, 0.000], [0.000, 0.500, 0.500], [0.500, 0.000, 0.500], [0.500, 0.500, 0.000]],
  "crystal_system": "tetragonal",
  "total_magnetization_mub_per_fu": 0.0,
  "e_tot_ev_per_cell": -24.25,
  "e_above_lowest_polymorph_mev_per_atom": 61,
  "vol_a3_per_fu": 90,
  "e_form_mev_per_atom": -438
}

---

{
  "formula": "Pm2DyY3Er6",
  "functional": "PBE",
  "state": "optimized geometry",
  "lattice_angstrom": [[3.077, -5.324, 0.000], [3.077, 5.324, 0.000], [-2.044, 0.000, 11.571]],
  "species": ["Pm", "Pm", "Dy", "Y", "Y", "Y", "Er", "Er", "Er", "Er", "Er", "Er"],
  "fractional_positions": [[0.167, 0.833, 0.000], [0.833, 0.167, 0.000], [0.500, 0.500, 0.000], [0.000, 0.000, 0.500], [0.333, 0.667, 0.500], [0.667, 0.333, 0.500], [0.083, 0.416, 0.749], [0.252, 0.252, 0.251], [0.416, 0.083, 0.749], [0.584, 0.917, 0.251], [0.748, 0.748, 0.749], [0.917, 0.584, 0.251]],
  "crystal_system": "monoclinic",
  "total_magnetization_mub_per_fu": 0.0,
  "e_tot_ev_per_cell": -60.61,
  "vol_a3_per_fu": 379,
  "e_form_mev_per_atom": 22
}